Run A
## Pr2Sm3Y7 (GGA-PBE)

Data for a relaxed structure of Pr2Sm3Y7. Values from VASP.

Calculated values
The crystal system is orthorhombic.

```
&SYSTEM
  ibrav = 0, nat = 12, ntyp = 3
/
ATOMIC_SPECIES
Pr 140.91 Pr.upf
Sm 150.36 Sm.upf
Y 88.91 Y.upf
CELL_PARAMETERS angstrom
-3.1069 1.7232 -0.7702
-2.3725 -5.1011 -1.8430
-5.0850 -0.8909 18.5193
ATOMIC_POSITIONS crystal
Pr 0.0000 0.8250 0.6499
Pr 0.0000 0.1750 0.3501
Sm 0.5000 0.5000 0.0000
Sm 0.5000 0.6489 0.2977
Sm 0.5000 0.3511 0.7023
Y 0.0000 0.4277 0.8553
Y 0.0000 0.7285 0.4570
Y 0.0000 0.0000 0.0000
Y 0.0000 0.5723 0.1447
Y 0.5000 0.0875 0.1750
Y 0.5000 0.9125 0.8250
Y 0.0000 0.2715 0.5430
```

***

Run B
## Pr2Sm3Y7 (GGA-PBE)

Data for a relaxed structure of Pr2Sm3Y7. Values from VASP.

Calculated values
The crystal system is monoclinic.

```
&SYSTEM
  ibrav = 0, nat = 12, ntyp = 3
/
ATOMIC_SPECIES
Pr 140.91 Pr.upf
Sm 150.36 Sm.upf
Y 88.91 Y.upf
CELL_PARAMETERS angstrom
3.6181 0.0000 0.0000
0.0000 5.8715 -0.3098
0.0000 -3.7689 19.1913
ATOMIC_POSITIONS crystal
Pr 0.5000 0.5850 0.2930
Pr 0.5000 0.4150 0.7070
Sm 0.5000 0.5000 0.0000
Sm 0.0000 0.1467 0.3687
Sm 0.0000 0.8533 0.6313
Y 0.5000 0.7197 0.4620
Y 0.5000 0.2803 0.5380
Y 0.0000 0.4569 0.1417
Y 0.0000 0.0000 0.0000
Y 0.0000 0.5431 0.8583
Y 0.5000 0.0141 0.8261
Y 0.5000 0.9859 0.1739
```

***

Stability summary: most stable run B, least stable run A.

***

Run A
## PrSm5Y5 (GGA-PBE)

Data for a relaxed structure of PrSm5Y5. Values from VASP.

Calculated values
The crystal system is hexagonal.

```
&SYSTEM
  ibrav = 0, nat = 11, ntyp = 3
/
ATOMIC_SPECIES
Pr 140.91 Pr.upf
Sm 150.36 Sm.upf
Y 88.91 Y.upf
CELL_PARAMETERS angstrom
-4.0638 4.4362 1.2282
-1.0010 -5.7194 1.9972
5.7747 2.5035 10.0635
ATOMIC_POSITIONS crystal
Pr 0.3333 0.6667 0.0000
Sm 0.6667 0.3333 0.1547
Sm 0.6667 0.3333 0.8453
Sm 0.3333 0.6667 0.3200
Sm 0.3333 0.6667 0.6800
Sm 0.0000 0.0000 0.0000
Y 0.3334 0.1667 0.5000
Y 0.0000 0.0000 0.2628
Y 0.8333 0.6666 0.5000
Y 0.8333 0.1667 0.5000
Y 0.0000 0.0000 0.7372
```

***

Run B
## PrSm5Y5 (GGA-PBE)

Data for a relaxed structure of PrSm5Y5. Values from VASP.

Calculated values
The crystal system is monoclinic.

```
&SYSTEM
  ibrav = 0, nat = 11, ntyp = 3
/
ATOMIC_SPECIES
Pr 140.91 Pr.upf
Sm 150.36 Sm.upf
Y 88.91 Y.upf
CELL_PARAMETERS angstrom
6.0467 0.0000 0.0000
-3.0233 9.3928 0.5071
0.0000 -2.6617 6.4942
ATOMIC_POSITIONS crystal
Pr 0.0000 0.0000 0.0000
Sm 0.6708 0.3415 0.1847
Sm 0.6256 0.2512 0.6405
Sm 0.0000 0.0000 0.5000
Sm 0.3744 0.7488 0.3595
Sm 0.3292 0.6585 0.8153
Y 0.8233 0.6467 0.0728
Y 0.8205 0.6411 0.5774
Y 0.5000 0.0000 0.0000
Y 0.1795 0.3589 0.4226
Y 0.1767 0.3533 0.9272
```

***

Stability summary: most stable run B, least stable run A.